1.
! NaZrCu3 GGA-PBE optimized geometry; values from VASP
&SYSTEM
  ibrav = 0, nat = 5, ntyp = 3
/
ATOMIC_SPECIES
Na 22.99 Na.upf
Cu 63.55 Cu.upf
Zr 91.22 Zr.upf
ATOMIC_POSITIONS crystal
Na 0.500 0.500 0.500
Cu 0.000 0.500 0.000
Cu 0.000 0.000 0.500
Cu 0.500 0.000 0.000
Zr 0.000 0.000 0.000
CELL_PARAMETERS angstrom
-4.543 -1.169 -1.796
-1.730 -0.486 4.691
-1.266 4.861 0.037
! * crystal system: cubic
! * formation energy: 4.630 eV/f.u.
! * energy above the lowest structure with this stoichiometry: 0.0 meV per atom
! * size of the total moment: 0.0000 μB/atom

2.
! ZnCdHgCl2 GGA-PBE optimized geometry; values from VASP
&SYSTEM
  ibrav = 0, nat = 5, ntyp = 4
/
ATOMIC_SPECIES
Zn 65.41 Zn.upf
Cl 35.45 Cl.upf
Hg 200.59 Hg.upf
Cd 112.41 Cd.upf
ATOMIC_POSITIONS crystal
Zn 0.500 0.500 0.500
Cl 0.000 0.000 0.500
Cl 0.500 0.000 0.000
Hg 0.000 0.000 0.000
Cd 0.000 0.500 0.000
CELL_PARAMETERS angstrom
-0.665 4.309 2.922
2.329 -2.797 4.655
4.777 1.676 -1.383
! * crystal system: tetragonal
! * ΔE_f (raw): -41 meV per atom
! * size of the total moment: 0.0000 μB/atom

3.
! BaTaBe2 GGA-PBE optimized geometry; values from VASP
&SYSTEM
  ibrav = 0, nat = 4, ntyp = 3
/
ATOMIC_SPECIES
Be 9.01 Be.upf
Ba 137.33 Ba.upf
Ta 180.95 Ta.upf
ATOMIC_POSITIONS crystal
Be 0.060 0.060 0.820
Be 0.729 0.729 0.812
Ba 0.259 0.259 0.223
Ta 0.452 0.452 0.645
CELL_PARAMETERS angstrom
-1.238 -3.374 -1.232
2.460 -2.517 -1.430
1.319 -4.500 5.149
! * crystal system: trigonal
! * formation energy: 1.841 eV/f.u.
! * energy above the lowest structure with this stoichiometry: 18.3 meV per atom
! * size of the total moment: 0.0003 μB/atom

4.
! TbPm10Y4 GGA-PBE optimized geometry; values from VASP
&SYSTEM
  ibrav = 0, nat = 15, ntyp = 3
/
ATOMIC_SPECIES
Tb 158.93 Tb.upf
Pm 145.00 Pm.upf
Y 88.91 Y.upf
ATOMIC_POSITIONS crystal
Tb 0.000 0.000 0.000
Pm 0.250 0.500 0.500
Pm 0.652 0.299 0.900
Pm 0.050 0.100 0.299
Pm 0.449 0.900 0.701
Pm 0.850 0.701 0.100
Pm 0.348 0.701 0.100
Pm 0.750 0.500 0.500
Pm 0.150 0.299 0.900
Pm 0.551 0.100 0.299
Pm 0.950 0.900 0.701
Y 0.400 0.801 0.400
Y 0.800 0.600 0.801
Y 0.200 0.400 0.199
Y 0.600 0.199 0.600
CELL_PARAMETERS angstrom
-6.663 1.231 -3.874
-6.034 -7.440 0.152
-7.000 3.740 5.366
! * crystal system: tetragonal
! * formation energy: 10.882 eV/f.u.
! * size of the total moment: 0.0000 μB/atom

5.
! Li2Zn3Ni7 GGA-PBE optimized geometry; values from VASP
&SYSTEM
  ibrav = 0, nat = 12, ntyp = 3
/
ATOMIC_SPECIES
Li 6.94 Li.upf
Zn 65.41 Zn.upf
Ni 58.69 Ni.upf
ATOMIC_POSITIONS crystal
Li 0.177 0.673 0.391
Li 0.823 0.327 0.609
Zn 0.500 0.500 0.000
Zn 0.852 0.990 0.317
Zn 0.148 0.010 0.683
Ni 0.462 0.294 0.400
Ni 0.538 0.706 0.600
Ni 0.913 0.496 0.153
Ni 0.000 0.000 0.000
Ni 0.087 0.504 0.847
Ni 0.575 0.999 0.854
Ni 0.425 0.001 0.146
CELL_PARAMETERS angstrom
-2.380 2.431 2.702
-0.658 -4.383 0.587
4.801 1.101 6.914
! * crystal system: triclinic
! * formation energy: -0.607 eV/f.u.
! * size of the total moment: 0.0000 μB/atom

6.
! AcNd3Bi3 GGA-PBE optimized geometry; values from VASP
&SYSTEM
  ibrav = 0, nat = 14, ntyp = 3
/
ATOMIC_SPECIES
Ac 227.00 Ac.upf
Nd 144.24 Nd.upf
Bi 208.98 Bi.upf
ATOMIC_POSITIONS crystal
Ac 0.334 0.334 0.999
Ac 0.666 0.666 0.001
Nd 0.349 0.819 0.744
Nd 0.819 0.088 0.744
Nd 0.088 0.349 0.744
Nd 0.912 0.651 0.256
Nd 0.181 0.912 0.256
Nd 0.651 0.181 0.256
Bi 0.292 0.539 0.248
Bi 0.920 0.292 0.248
Bi 0.539 0.920 0.248
Bi 0.461 0.080 0.752
Bi 0.080 0.708 0.752
Bi 0.708 0.461 0.752
CELL_PARAMETERS angstrom
-4.579 7.877 -3.311
-9.294 -0.571 -2.697
-6.464 3.901 4.026
! * crystal system: trigonal
! * formation energy: -4.934 eV/f.u.
! * energy above the lowest structure with this stoichiometry: 109.6 meV per atom
! * size of the total moment: 0.0000 μB/atom

7.
! Rb2MnOsCl6 GGA-PBE optimized geometry; values from VASP
&SYSTEM
  ibrav = 0, nat = 10, ntyp = 4
/
ATOMIC_SPECIES
Mn 54.94 Mn.upf
Os 190.23 Os.upf
Rb 85.47 Rb.upf
Cl 35.45 Cl.upf
ATOMIC_POSITIONS crystal
Mn 0.500 0.500 0.000
Os 0.000 0.000 0.000
Rb 0.750 0.250 0.500
Rb 0.250 0.750 0.500
Cl 0.254 0.254 0.491
Cl 0.746 0.746 0.509
Cl 0.237 0.237 0.000
Cl 0.763 0.763 0.000
Cl 0.763 0.237 0.000
Cl 0.237 0.763 0.000
CELL_PARAMETERS angstrom
7.296 0.000 0.000
0.000 7.296 0.000
3.648 3.648 4.547
! * crystal system: tetragonal
! * ΔE_f (raw): -963 meV per atom
! * size of the total moment: 0.5000 μB/atom

8.
! Ac3Ce3PrSe8 GGA-PBE optimized geometry; values from VASP
&SYSTEM
  ibrav = 0, nat = 15, ntyp = 4
/
ATOMIC_SPECIES
Ac 227.00 Ac.upf
Ce 140.12 Ce.upf
Pr 140.91 Pr.upf
Se 78.96 Se.upf
ATOMIC_POSITIONS crystal
Ac 0.000 0.000 0.000
Ac 0.000 0.500 0.000
Ac 0.500 0.500 0.000
Ce 0.500 0.000 0.500
Ce 0.500 0.500 0.500
Ce 0.000 0.500 0.500
Pr 0.000 0.000 0.500
Se 0.256 0.511 0.266
Se 0.744 0.489 0.734
Se 0.751 0.502 0.262
Se 0.249 0.498 0.738
Se 0.751 0.010 0.262
Se 0.249 0.990 0.738
Se 0.259 0.010 0.262
Se 0.741 0.990 0.738
CELL_PARAMETERS angstrom
-0.530 -1.510 8.435
7.016 -2.359 -4.351
-1.515 8.490 1.424
! * crystal system: trigonal
! * ΔE_f (raw): -1866 meV per atom
! * size of the total moment: 0.2589 μB/atom

9.
! Ba3YBe2O6 GGA-PBE optimized geometry; values from VASP
&SYSTEM
  ibrav = 0, nat = 12, ntyp = 4
/
ATOMIC_SPECIES
Ba 137.33 Ba.upf
Y 88.91 Y.upf
Be 9.01 Be.upf
O 16.00 O.upf
ATOMIC_POSITIONS crystal
Ba 0.333 0.667 0.683
Ba 0.667 0.333 0.317
Ba 0.000 0.000 0.000
Y 0.000 0.000 0.500
Be 0.667 0.333 0.722
Be 0.333 0.667 0.278
O 0.643 0.821 0.308
O 0.179 0.357 0.308
O 0.179 0.821 0.308
O 0.821 0.643 0.692
O 0.357 0.179 0.692
O 0.821 0.179 0.692
CELL_PARAMETERS angstrom
-0.388 4.276 -3.885
0.851 -5.448 -1.767
-7.226 -1.004 -0.384
! * crystal system: trigonal
! * ΔE_f (raw): -2674 meV per atom
! * size of the total moment: 0.0002 μB/atom

10.
! Tl2ZnP GGA-PBE optimized geometry; values from VASP
&SYSTEM
  ibrav = 0, nat = 4, ntyp = 3
/
ATOMIC_SPECIES
Tl 204.38 Tl.upf
Zn 65.41 Zn.upf
P 30.97 P.upf
ATOMIC_POSITIONS crystal
Tl 0.017 0.017 0.017
Tl 0.230 0.230 0.230
Zn 0.464 0.464 0.464
P 0.779 0.779 0.779
CELL_PARAMETERS angstrom
7.725 -1.995 0.012
7.725 1.995 0.012
7.204 0.000 3.428
! * crystal system: trigonal
! * formation energy: -0.018 eV/f.u.
! * energy above the lowest structure with this stoichiometry: 0.0 meV per atom
! * size of the total moment: 0.0000 μB/atom

11.
! YScAl2 GGA-PBE optimized geometry; values from VASP
&SYSTEM
  ibrav = 0, nat = 4, ntyp = 3
/
ATOMIC_SPECIES
Y 88.91 Y.upf
Sc 44.96 Sc.upf
Al 26.98 Al.upf
ATOMIC_POSITIONS crystal
Y 0.750 0.750 0.750
Sc 0.500 0.500 0.500
Al 0.000 0.000 0.000
Al 0.250 0.250 0.250
CELL_PARAMETERS angstrom
-3.613 -3.114 1.328
0.824 -4.882 0.023
0.291 -2.442 4.298
! * crystal system: cubic
! * formation energy: 0.030 eV/f.u.
! * energy above the lowest structure with this stoichiometry: 437.2 meV per atom
! * size of the total moment: 0.0000 μB/atom

12.
! Li2InFe GGA-PBE optimized geometry; values from VASP
&SYSTEM
  ibrav = 0, nat = 4, ntyp = 3
/
ATOMIC_SPECIES
Fe 55.84 Fe.upf
In 114.82 In.upf
Li 6.94 Li.upf
ATOMIC_POSITIONS crystal
Fe 0.750 0.250 0.500
In 0.250 0.750 0.500
Li 0.986 0.986 0.000
Li 0.514 0.514 0.000
CELL_PARAMETERS angstrom
-3.120 3.888 2.329
-4.186 -1.393 3.288
5.401 -0.098 -1.045
! * crystal system: orthorhombic
! * formation energy: 0.387 eV/f.u.
! * size of the total moment: 0.5484 μB/atom

13.
! CaSbIr2 GGA-PBE optimized geometry; values from VASP
&SYSTEM
  ibrav = 0, nat = 4, ntyp = 3
/
ATOMIC_SPECIES
Sb 121.76 Sb.upf
Ca 40.08 Ca.upf
Ir 192.22 Ir.upf
ATOMIC_POSITIONS crystal
Sb 0.500 0.000 0.500
Ca 0.000 0.500 0.500
Ir 0.000 0.000 0.000
Ir 0.500 0.500 0.000
CELL_PARAMETERS angstrom
-3.595 -0.721 -3.047
1.096 -4.561 0.852
-2.094 -0.040 2.480
! * crystal system: orthorhombic
! * ΔE_f (raw): -93 meV per atom
! * size of the total moment: 0.0000 μB/atom

14.
! Na3Pm2SbSe6 GGA-PBE optimized geometry; values from VASP
&SYSTEM
  ibrav = 0, nat = 12, ntyp = 4
/
ATOMIC_SPECIES
Na 22.99 Na.upf
Pm 145.00 Pm.upf
Sb 121.76 Sb.upf
Se 78.96 Se.upf
ATOMIC_POSITIONS crystal
Na 0.163 0.837 0.500
Na 0.837 0.163 0.500
Na 0.500 0.500 0.500
Pm 0.333 0.667 0.000
Pm 0.667 0.333 0.000
Sb 0.000 0.000 0.000
Se 0.922 0.594 0.766
Se 0.749 0.749 0.232
Se 0.078 0.406 0.234
Se 0.594 0.922 0.766
Se 0.251 0.251 0.768
Se 0.406 0.078 0.234
CELL_PARAMETERS angstrom
7.331 -0.001 0.002
-3.664 6.350 0.002
-1.222 -2.116 7.006
! * crystal system: monoclinic
! * ΔE_f (raw): -1341 meV per atom
! * size of the total moment: 0.0000 μB/atom

15.
! CrPdSe2Br GGA-PBE optimized geometry; values from VASP
&SYSTEM
  ibrav = 0, nat = 5, ntyp = 4
/
ATOMIC_SPECIES
Cr 52.00 Cr.upf
Se 78.96 Se.upf
Br 79.90 Br.upf
Pd 106.42 Pd.upf
ATOMIC_POSITIONS crystal
Cr 0.000 0.000 0.000
Se 0.000 0.500 0.000
Se 0.500 0.000 0.000
Br 0.000 0.000 0.500
Pd 0.500 0.500 0.500
CELL_PARAMETERS angstrom
4.758 0.000 0.000
0.000 4.758 0.000
0.000 0.000 5.169
! * crystal system: tetragonal
! * ΔE_f (raw): 309 meV per atom
! * energy above the lowest structure with this stoichiometry: 0.0 meV per atom
! * size of the total moment: 0.2965 μB/atom

16.
! TbNd5Ho2 GGA-PBE optimized geometry; values from VASP
&SYSTEM
  ibrav = 0, nat = 16, ntyp = 3
/
ATOMIC_SPECIES
Tb 158.93 Tb.upf
Nd 144.24 Nd.upf
Ho 164.93 Ho.upf
ATOMIC_POSITIONS crystal
Tb 0.758 0.242 0.250
Tb 0.242 0.758 0.750
Nd 0.511 0.489 0.750
Nd 0.489 0.511 0.250
Nd 0.460 0.984 0.767
Nd 0.002 0.983 0.131
Nd 0.984 0.460 0.267
Nd 0.017 0.998 0.369
Nd 0.983 0.002 0.631
Nd 0.998 0.017 0.869
Nd 0.016 0.540 0.733
Nd 0.540 0.016 0.233
Ho 0.500 0.000 0.000
Ho 0.500 0.500 0.000
Ho 0.500 0.500 0.500
Ho 0.000 0.500 0.500
CELL_PARAMETERS angstrom
-3.986 5.104 7.334
-7.570 -5.558 2.744
-5.636 -3.162 11.745
! * crystal system: monoclinic
! * formation energy: 1.675 eV/f.u.
! * energy above the lowest structure with this stoichiometry: 193.9 meV per atom
! * size of the total moment: 0.0000 μB/atom

17.
! SiNiAsP GGA-PBE optimized geometry; values from VASP
&SYSTEM
  ibrav = 0, nat = 4, ntyp = 4
/
ATOMIC_SPECIES
Ni 58.69 Ni.upf
As 74.92 As.upf
Si 28.09 Si.upf
P 30.97 P.upf
ATOMIC_POSITIONS crystal
Ni 0.500 0.000 0.384
As 0.500 0.500 0.118
Si 0.000 0.500 0.849
P 0.000 0.000 0.601
CELL_PARAMETERS angstrom
-3.310 1.502 -0.332
-0.661 -0.712 3.368
2.160 5.091 1.499
! * crystal system: orthorhombic
! * ΔE_f (raw): -177 meV per atom
! * energy above the lowest structure with this stoichiometry: 0.0 meV per atom
! * size of the total moment: 0.0000 μB/atom

18.
! Er2GePd GGA-PBE optimized geometry; values from VASP
&SYSTEM
  ibrav = 0, nat = 4, ntyp = 3
/
ATOMIC_SPECIES
Ge 72.64 Ge.upf
Pd 106.42 Pd.upf
Er 167.26 Er.upf
ATOMIC_POSITIONS crystal
Ge 0.500 0.000 0.000
Pd 0.500 0.500 0.500
Er 0.000 0.000 0.500
Er 0.000 0.500 0.000
CELL_PARAMETERS angstrom
-1.161 0.194 -3.460
-0.494 -4.840 -0.105
-4.588 0.434 1.564
! * crystal system: tetragonal
! * formation energy: -3.237 eV/f.u.
! * size of the total moment: 0.0000 μB/atom

19.
! Mn2Co2W GGA-PBE optimized geometry; values from VASP
&SYSTEM
  ibrav = 0, nat = 10, ntyp = 3
/
ATOMIC_SPECIES
Mn 54.94 Mn.upf
Co 58.93 Co.upf
W 183.84 W.upf
ATOMIC_POSITIONS crystal
Mn 0.173 0.673 0.500
Mn 0.673 0.827 0.500
Mn 0.827 0.327 0.500
Mn 0.327 0.173 0.500
Co 0.378 0.878 0.000
Co 0.878 0.622 0.000
Co 0.622 0.122 0.000
Co 0.122 0.378 0.000
W 0.000 0.000 0.000
W 0.500 0.500 0.000
CELL_PARAMETERS angstrom
6.795 0.000 0.000
0.000 6.795 0.000
0.000 0.000 2.555
! * crystal system: tetragonal
! * formation energy: 0.814 eV/f.u.
! * energy above the lowest structure with this stoichiometry: 0.0 meV per atom
! * size of the total moment: 0.2839 μB/atom

20.
! LaThSc2 GGA-PBE optimized geometry; values from VASP
&SYSTEM
  ibrav = 0, nat = 4, ntyp = 3
/
ATOMIC_SPECIES
Sc 44.96 Sc.upf
Th 232.04 Th.upf
La 138.91 La.upf
ATOMIC_POSITIONS crystal
Sc 0.250 0.250 0.250
Sc 0.750 0.750 0.750
Th 0.500 0.500 0.500
La 0.000 0.000 0.000
CELL_PARAMETERS angstrom
5.491 0.000 0.000
2.745 4.755 0.000
2.745 1.585 4.483
! * crystal system: cubic
! * formation energy: 0.234 eV/f.u.
! * energy above the lowest structure with this stoichiometry: 32.1 meV per atom
! * size of the total moment: 0.0000 μB/atom

Ρ / g cm⁻³: 3.99, 4.58, 6.76, 5.46, 7.04, 8.11, 4.31, 6.77, 4.81, 7.96, 3.63, 4.72, 12.42, 4.86, 5.62, 7.36, 4.36, 9.85, 11.59, 6.54